No. 1
16
Lattice="5.307 0.000 0.000 0.000 5.307 0.000 0.000 0.000 15.562" Properties=species:S:1:pos:R:3 comment="PrSm2Mg5 PBE-GGA optimized geometry" spacegroup="I4/mmm (139)" delta_e_f_kj_per_mol_fu=-75 pbc="T T T"
Pr 0.000 0.000 0.000
Pr 2.653 2.653 7.781
Sm 0.000 0.000 4.054
Sm 0.000 0.000 11.508
Sm 2.653 2.653 3.727
Sm 2.653 2.653 11.835
Mg 0.000 0.000 7.781
Mg 0.000 2.653 1.872
Mg 0.000 2.653 5.909
Mg 0.000 2.653 9.653
Mg 0.000 2.653 13.690
Mg 2.653 0.000 1.872
Mg 2.653 0.000 5.909
Mg 2.653 0.000 9.653
Mg 2.653 0.000 13.690
Mg 2.653 2.653 0.000

***

No. 2
10
Lattice="-4.232 6.276 3.218 4.232 -6.276 3.218 4.232 6.276 -3.218" Properties=species:S:1:pos:R:3 comment="Pr2SmMg2 PBE-GGA optimized geometry" spacegroup="Ibam (72)" delta_e_f_kj_per_mol_fu=113 pbc="T T T"
Pr 1.224 1.027 0.000
Pr 1.224 -1.027 3.218
Pr 3.009 7.304 0.000
Pr 3.009 5.249 3.218
Sm 4.232 0.000 1.609
Sm 0.000 6.276 1.609
Mg 6.482 2.194 0.000
Mg 2.249 4.082 0.000
Mg 1.983 2.194 3.218
Mg -2.249 4.082 3.218

***

No. 3
20
Lattice="5.129 0.000 0.000 0.000 5.129 0.000 0.000 0.000 25.662" Properties=species:S:1:pos:R:3 comment="Pr4Sm15Mg PBE-GGA optimized geometry" spacegroup="P4/mmm (123)" delta_e_f_kj_per_mol_fu=30 pbc="T T T"
Pr 0.000 0.000 2.595
Pr 0.000 0.000 7.794
Pr 0.000 0.000 17.868
Pr 0.000 0.000 23.067
Sm 0.000 2.565 0.000
Sm 0.000 2.565 5.195
Sm 0.000 2.565 10.360
Sm 0.000 2.565 15.301
Sm 0.000 2.565 20.467
Sm 2.565 0.000 0.000
Sm 2.565 0.000 5.195
Sm 2.565 0.000 10.360
Sm 2.565 0.000 15.301
Sm 2.565 0.000 20.467
Sm 2.565 2.565 2.609
Sm 2.565 2.565 7.825
Sm 2.565 2.565 12.831
Sm 2.565 2.565 17.837
Sm 2.565 2.565 23.053
Mg 0.000 0.000 12.831

***

No. 4
19
Lattice="8.013 -4.675 0.000 8.013 4.675 0.000 -0.492 0.000 8.741" Properties=species:S:1:pos:R:3 comment="Pr12Sm5Mg2 PBE-GGA optimized geometry" spacegroup="C2/m (12)" delta_e_f_kj_per_mol_fu=142 pbc="T T T"
Pr 0.777 0.000 2.974
Pr 5.802 2.852 2.749
Pr 5.291 1.728 6.672
Pr 9.731 2.852 5.992
Pr 6.716 0.000 1.037
Pr 10.242 1.728 2.069
Pr 5.291 -1.728 6.672
Pr 8.817 0.000 7.704
Pr 5.802 -2.852 2.749
Pr 10.242 -1.728 2.069
Pr 9.731 -2.852 5.992
Pr 14.756 0.000 5.767
Sm 3.253 0.000 0.255
Sm 4.093 0.000 3.761
Sm 7.766 0.000 4.371
Sm 11.440 0.000 4.980
Sm 12.280 0.000 8.486
Mg 8.013 3.151 0.000
Mg 8.013 -3.151 0.000

***

No. 5
16
Lattice="2.725 -5.980 0.000 2.725 5.980 0.000 0.000 0.000 16.042" Properties=species:S:1:pos:R:3 comment="Pr3Sm3Mg2 PBE-GGA optimized geometry" spacegroup="Cmcm (63)" delta_e_f_kj_per_mol_fu=43 pbc="T T T"
Pr 2.725 5.534 9.703
Pr 2.725 5.534 14.360
Pr 2.725 2.949 12.032
Pr 2.725 -2.949 4.011
Pr 2.725 -5.534 1.682
Pr 2.725 -5.534 6.339
Sm 2.725 1.739 8.523
Sm 2.725 1.739 15.540
Sm 2.725 0.317 4.011
Sm 2.725 -0.317 12.032
Sm 2.725 -1.739 0.502
Sm 2.725 -1.739 7.519
Mg 2.725 3.230 2.348
Mg 2.725 3.230 5.673
Mg 2.725 -3.230 10.369
Mg 2.725 -3.230 13.694

***

No. 6
20
Lattice="6.202 3.580 5.314 -6.202 3.580 5.314 0.000 -7.161 5.314" Properties=species:S:1:pos:R:3 comment="Pr12Sm7Mg PBE-GGA optimized geometry" spacegroup="R-3 (148)" delta_e_f_kj_per_mol_fu=355 pbc="T T T"
Pr -2.198 -5.019 6.655
Pr -5.446 -0.607 9.286
Pr -3.233 0.938 7.178
Pr -2.429 -2.331 8.764
Pr -3.248 4.413 6.655
Pr 0.805 -3.269 7.178
Pr -0.805 3.269 8.764
Pr 3.248 -4.413 9.286
Pr 2.429 2.331 7.178
Pr 3.233 -0.938 8.764
Pr 5.446 0.607 6.655
Pr 2.197 5.019 9.286
Sm 0.000 0.000 0.000
Sm -1.500 -1.404 4.744
Sm -0.466 2.001 4.744
Sm 1.966 -0.597 4.744
Sm -1.966 0.597 11.197
Sm 0.466 -2.001 11.197
Sm 1.500 1.404 11.197
Mg 0.000 0.000 7.971

***

No. 7
12
Lattice="6.603 0.000 0.000 0.000 9.340 0.000 -0.020 0.000 6.317" Properties=species:S:1:pos:R:3 comment="PrSm4Mg PBE-GGA optimized geometry" spacegroup="P2/c (13)" delta_e_f_kj_per_mol_fu=46 pbc="T T T"
Pr -0.005 2.330 1.579
Pr -0.015 7.011 4.738
Sm 1.683 0.695 5.380
Sm 1.682 3.981 4.087
Sm 1.692 5.359 0.929
Sm 1.693 8.645 2.222
Sm 4.891 0.695 4.095
Sm 4.892 3.981 5.388
Sm 4.902 5.359 2.230
Sm 4.901 8.645 0.937
Mg 3.297 2.337 1.579
Mg 3.287 7.004 4.738

***

No. 8
10
Lattice="3.881 0.000 0.000 0.000 5.575 0.000 -1.956 0.000 14.274" Properties=species:S:1:pos:R:3 comment="Pr2SmMg2 PBE-GGA optimized geometry" spacegroup="P2_1/m (11)" delta_e_f_kj_per_mol_fu=-37 pbc="T T T"
Pr -0.001 1.394 1.282
Pr -0.011 1.394 6.761
Pr 1.936 4.182 7.513
Pr 1.926 4.182 12.992
Sm -0.002 4.182 4.248
Sm 1.927 1.394 10.027
Mg -0.014 4.182 10.274
Mg -0.008 1.394 12.748
Mg 1.934 4.182 1.526
Mg 1.939 1.394 4.000

***

No. 9
11
Lattice="6.043 -5.640 0.000 6.043 5.640 0.000 -1.483 0.000 5.867" Properties=species:S:1:pos:R:3 comment="Pr2Sm8Mg PBE-GGA optimized geometry" spacegroup="C2/m (12)" delta_e_f_kj_per_mol_fu=396 pbc="T T T"
Pr 0.963 0.000 2.891
Pr 9.639 0.000 2.976
Sm 4.499 2.914 1.196
Sm 3.110 0.000 0.562
Sm 6.103 2.914 4.671
Sm 4.055 0.000 4.192
Sm 6.547 0.000 1.675
Sm 4.499 -2.914 1.196
Sm 7.491 0.000 5.305
Sm 6.103 -2.914 4.671
Mg 0.000 0.000 0.000

***

No. 10
6
Lattice="3.830 0.000 0.000 0.000 3.830 0.000 0.000 0.000 13.017" Properties=species:S:1:pos:R:3 comment="Pr3SmMg2 PBE-GGA optimized geometry" spacegroup="P4/mmm (123)" delta_e_f_kj_per_mol_fu=-36 pbc="T T T"
Pr 0.000 0.000 0.000
Pr 0.000 0.000 3.997
Pr 0.000 0.000 9.020
Sm 1.915 1.915 6.508
Mg 1.915 1.915 1.989
Mg 1.915 1.915 11.028

***

No. 11
13
Lattice="6.839 0.000 0.000 1.880 8.547 0.000 3.391 3.181 7.547" Properties=species:S:1:pos:R:3 comment="Pr8Sm3Mg2 PBE-GGA optimized geometry" spacegroup="P-1 (2)" delta_e_f_kj_per_mol_fu=15 pbc="T T T"
Pr 1.632 1.065 2.202
Pr 4.213 4.448 6.212
Pr 3.139 4.424 2.586
Pr 5.634 7.750 6.419
Pr 6.476 3.978 1.129
Pr 8.970 7.305 4.961
Pr 7.897 7.280 1.335
Pr 10.478 10.663 5.345
Sm 7.871 10.123 7.516
Sm 5.115 1.591 3.774
Sm 4.239 1.606 0.032
Mg 5.228 7.008 3.281
Mg 6.882 4.720 4.266

***

No. 12
14
Lattice="4.355 -4.871 0.000 4.355 4.871 0.000 -4.282 0.000 11.015" Properties=species:S:1:pos:R:3 comment="PrSm5Mg PBE-GGA optimized geometry" spacegroup="C2/c (15)" delta_e_f_kj_per_mol_fu=64 pbc="T T T"
Pr 1.144 2.467 8.261
Pr 3.285 -2.467 2.754
Sm -0.768 0.835 5.934
Sm 3.285 3.815 2.754
Sm 1.373 -0.835 0.427
Sm 1.931 0.676 3.831
Sm -0.210 -0.676 9.339
Sm 4.639 0.676 1.677
Sm 2.498 -0.676 7.184
Sm 3.056 0.835 10.589
Sm 1.144 -3.815 8.261
Sm 5.197 -0.835 5.081
Mg 2.178 2.436 0.000
Mg 0.037 -2.436 5.508